Computed, not measured: crystalline LaPRu at its relaxed geometry at the PBE level of DFT.

It has space group P4/nmm (No. 129, origin choice 2), with a = 4.0376 Å, b = 4.0376 Å, c = 8.0900 Å, α = 90.00°, β = 90.00° and γ = 90.00°. The asymmetric unit holds La at (0.2500, 0.2500, 0.1980), P at (0.2500, 0.2500, 0.6554) and Ru at (0.2500, 0.7500, 0.5000).

As for the crystal system: tetragonal.

---

Computed, not measured: crystalline Dy4AgPt3 at its relaxed geometry at the PBE level of DFT.

It has space group R-3m (No. 166, hexagonal axes), with a = 4.9853 Å, b = 4.9853 Å, c = 24.3890 Å, α = 90.00°, β = 90.00° and γ = 120.00°. The asymmetric unit holds Dy at (0.0000, 0.0000, 0.1215), Dy at (0.0000, 0.0000, 0.3715), Ag at (0.0000, 0.0000, 0.5000), Pt at (0.0000, 0.0000, 0.0000) and Pt at (0.0000, 0.0000, 0.2440).

As for the crystal system: trigonal.

---

E_tot (computed, eV/atom): -7.555 -5.936